--- w ---
## Dy8HoAl2 (PBE-GGA)

Data for a geometry-optimized Dy8HoAl2 structure.

a b c (Å): 8.5252 8.5252 5.5613
angles (deg): 101.66 101.66 118.08
Closest atoms and distances in Å follow each position.
Positions (direct):
Dy: 0.0881 0.3252 0.6119  2 Al 3.07-3.23, 1 Dy 3.34
Dy: 0.2233 0.7767 0.0000  2 Al 3.04, 1 Ho 3.27
Dy: 0.3252 0.0881 0.6119  2 Al 3.07-3.23, 1 Dy 3.34
Dy: 0.4031 0.4031 0.2042  2 Dy 3.05-3.33, 2 Al 3.20, 1 Ho 3.26
Dy: 0.5969 0.5969 0.7958  2 Dy 3.05-3.33, 2 Al 3.20, 1 Ho 3.26
Dy: 0.6748 0.9119 0.3881  2 Al 3.07-3.23, 1 Dy 3.34
Dy: 0.7767 0.2233 0.0000  2 Al 3.04, 1 Ho 3.27
Dy: 0.9119 0.6748 0.3881  2 Al 3.07-3.23, 1 Dy 3.34
Ho: 0.0000 0.0000 0.0000  8 Dy 3.26-3.61
Al: 0.3079 0.6921 0.5000  8 Dy 3.04-3.23
Al: 0.6921 0.3079 0.5000  8 Dy 3.04-3.23

Its density of states at the Fermi level is 15.49 states/eV/cell.

***

--- x ---
## Dy8HoAl2 (PBE-GGA)

Data for a geometry-optimized Dy8HoAl2 structure.

a b c (Å): 8.5952 8.5952 8.1915
angles (deg): 113.03 113.03 35.01
Closest atoms and distances in Å follow each position.
Positions (direct):
Dy: 0.0558 0.0558 0.2338  1 Al 3.14, 3 Dy 3.37-3.50
Dy: 0.1526 0.1526 0.7202  3 Al 3.16-3.19, 1 Dy 3.44, 2 Ho 3.53
Dy: 0.3122 0.3122 0.5484  1 Al 3.04, 4 Dy 3.18-3.37, 1 Ho 3.26
Dy: 0.3896 0.3896 0.0292  3 Al 3.16-3.21, 1 Ho 3.52
Dy: 0.6104 0.6104 0.9708  3 Al 3.16-3.21, 1 Ho 3.52
Dy: 0.6878 0.6878 0.4516  1 Al 3.04, 4 Dy 3.18-3.37, 1 Ho 3.26
Dy: 0.8474 0.8474 0.2798  3 Al 3.16-3.19, 1 Dy 3.44, 2 Ho 3.53
Dy: 0.9442 0.9442 0.7662  1 Al 3.14, 3 Dy 3.37-3.50
Ho: 0.5000 0.5000 0.5000  8 Dy 3.26-3.53
Al: 0.2240 0.2240 0.1417  8 Dy 3.04-3.21
Al: 0.7760 0.7760 0.8583  8 Dy 3.04-3.21

Its density of states at the Fermi level is 12.73 states/eV/cell.

***

Going by the energies, x is most stable and the next is 114 meV per atom up.